Computed, not measured: crystalline KHoS2O6 at its relaxed geometry at the PBE level of DFT.

Calculated values
**Electronic total energy**: -6.39 eV per atom
**E_form (uncorrected)**: -2.02 eV per atom
**M_tot**: 0.0 Bohr magnetons per cell
**SG**: R-3

Lattice parameters (Å, degrees): 5.3286 5.3286 7.4125 68.93 68.93 60.00
With the nearest neighbours (Å) after each atom.
Positions (direct):
K 0.0000 0.0000 0.0000  6 O 2.97
Ho 0.5000 0.5000 0.5000  6 O 2.26
S 0.7375 0.7375 0.7874  3 O 1.54
S 0.2625 0.2625 0.2126  3 O 1.54
O 0.0547 0.5281 0.6986  1 S 1.54
O 0.7186 0.0547 0.6986  1 S 1.54
O 0.4719 0.2814 0.3014  1 S 1.54
O 0.9453 0.4719 0.3014  1 S 1.54
O 0.2814 0.9453 0.3014  1 S 1.54
O 0.5281 0.7186 0.6986  1 S 1.54